First-principles (SCAN) data for a crystal of SnGe3Pt relaxed with PBEsol, as listed in Alexandria via LeMat-Bulk.

It has space group Pm-3m (No. 221), with a = 4.8592 Å, b = 4.8592 Å, c = 4.8592 Å, α = 90.00°, β = 90.00° and γ = 90.00°. The inequivalent atoms are Sn at (0.0000, 0.0000, 0.0000), Ge at (0.0000, 0.5000, 0.5000) and Pt at (0.5000, 0.5000, 0.5000).

Its energy relative to the elements is 0.276 eV per atom. For the total energy, the calculation gives -32.400 eV per atom. The calculated volume comes out at 22.95 Å³/atom. As for the calculated density: 7.7 g cm⁻³.



First-principles (SCAN) data for a crystal of ZrSiTeBr2 relaxed with PBEsol, as listed in Alexandria via LeMat-Bulk.

It has space group P4/mmm (No. 123), with a = 5.3003 Å, b = 5.3003 Å, c = 5.3781 Å, α = 90.00°, β = 90.00° and γ = 90.00°. The inequivalent atoms are Zr at (0.0000, 0.0000, 0.0000), Si at (0.5000, 0.5000, 0.0000), Te at (0.5000, 0.5000, 0.5000) and Br at (0.0000, 0.5000, 0.5000).

As for the formation energy (no corrections): 0.933 eV/atom. For the total energy, the calculation gives -22.444 eV per atom. The calculated volume comes out at 30.22 Å³/atom. As for the calculated density: 4.5 g cm⁻³.



First-principles (SCAN) data for a crystal of ZrHg2TeSe relaxed with PBEsol, as listed in Alexandria via LeMat-Bulk.

It has space group P4/mmm (No. 123), with a = 5.3388 Å, b = 5.3388 Å, c = 5.4705 Å, α = 90.00°, β = 90.00° and γ = 90.00°. The inequivalent atoms are Zr at (0.0000, 0.0000, 0.0000), Hg at (0.0000, 0.5000, 0.5000), Te at (0.5000, 0.5000, 0.5000) and Se at (0.5000, 0.5000, 0.0000).

As for the formation energy (no corrections): 0.723 eV/atom. For the total energy, the calculation gives -44.149 eV per atom. The calculated volume comes out at 31.19 Å³/atom. As for the calculated density: 7.4 g cm⁻³.



First-principles (SCAN) data for a crystal of NaLa2Au2 relaxed with PBEsol, as listed in Alexandria via LeMat-Bulk.

It has space group P4/mbm (No. 127), with a = 8.3083 Å, b = 8.3083 Å, c = 3.8973 Å, α = 90.00°, β = 90.00° and γ = 90.00°. The inequivalent atoms are Na at (0.0000, 0.0000, 0.0000), La at (0.1605, 0.3395, 0.5000) and Au at (0.1330, 0.6330, 0.0000).

Its energy relative to the elements is -0.823 eV per atom. For the total energy, the calculation gives -46.571 eV per atom. The calculated volume comes out at 26.90 Å³/atom. As for the calculated density: 8.6 g cm⁻³.



First-principles (SCAN) data for a crystal of HfSb2TeN relaxed with PBEsol, as listed in Alexandria via LeMat-Bulk.

It has space group P4/mmm (No. 123), with a = 4.6752 Å, b = 4.6752 Å, c = 4.5820 Å, α = 90.00°, β = 90.00° and γ = 90.00°. The inequivalent atoms are Hf at (0.0000, 0.0000, 0.0000), Sb at (0.0000, 0.5000, 0.5000), Te at (0.5000, 0.5000, 0.0000) and N at (0.5000, 0.5000, 0.5000).

As for the formation energy (no corrections): 0.486 eV/atom. For the total energy, the calculation gives -36.261 eV per atom. The calculated volume comes out at 20.03 Å³/atom. As for the calculated density: 9.3 g cm⁻³.



First-principles (SCAN) data for a crystal of CrGeSeBr2 relaxed with PBEsol, as listed in Alexandria via LeMat-Bulk.

It has space group P4/mmm (No. 123), with a = 5.1422 Å, b = 5.1422 Å, c = 5.0231 Å, α = 90.00°, β = 90.00° and γ = 90.00°. The inequivalent atoms are Cr at (0.0000, 0.0000, 0.0000), Ge at (0.5000, 0.5000, 0.5000), Se at (0.5000, 0.5000, 0.0000) and Br at (0.0000, 0.5000, 0.5000).

For the energy above the most stable polymorph in this dataset, the calculation gives 0.232 eV per atom. As for the formation energy (no corrections): 0.111 eV/atom. For the total energy, the calculation gives -19.183 eV per atom. The calculated volume comes out at 26.56 Å³/atom. As for the calculated density: 4.5 g cm⁻³.